Record 1
# Zr2FeGe2, relaxed, DFT PBE-GGA
data_Zr2FeGe2
_chemical_formula_sum 'Zr8 Fe4 Ge8'
_symmetry_space_group_name_H-M 'I b a m'
_symmetry_Int_Tables_number 72
_symmetry_space_group_name_Hall '-I 2 2c'
_cell_length_a 5.5170
_cell_length_b 11.9417
_cell_length_c 5.4747
_cell_angle_alpha 90.00
_cell_angle_beta 90.00
_cell_angle_gamma 90.00
loop_
_atom_site_label
_atom_site_type_symbol
_atom_site_fract_x
_atom_site_fract_y
_atom_site_fract_z
Zr1 Zr 0.2219 0.1619 0.0000
Fe1 Fe 0.0000 0.0000 0.2500
Ge1 Ge 0.2096 0.4056 0.0000
# ρ: 7.1 g cm⁻³
# DFT total energy: -149.5 eV for the cell shown
# ΔH_f (0 K): -0.52 eV/atom
# N(E_F): 18.24 states/eV/cell


Record 2
# ZrFe3Ge3, relaxed, DFT PBE-GGA
data_ZrFe3Ge3
_chemical_formula_sum 'Zr2 Fe6 Ge6'
_symmetry_space_group_name_H-M 'P m -3 n'
_symmetry_Int_Tables_number 223
_symmetry_space_group_name_Hall '-P 4n 2 3'
_cell_length_a 6.3730
_cell_length_b 6.3730
_cell_length_c 6.3730
_cell_angle_alpha 90.00
_cell_angle_beta 90.00
_cell_angle_gamma 90.00
loop_
_atom_site_label
_atom_site_type_symbol
_atom_site_fract_x
_atom_site_fract_y
_atom_site_fract_z
Zr1 Zr 0.0000 0.0000 0.0000
Fe1 Fe 0.0000 0.2500 0.5000
Ge1 Ge 0.0000 0.5000 0.2500
# ρ: 6.1 g cm⁻³
# energy above the lowest structure with this stoichiometry: 3.59 eV per formula unit
# DFT total energy: -87.9 eV for the cell shown
# ΔH_f (0 K): 0.55 eV/atom
# N(E_F): 17.37 states/eV/cell


Record 3
# Zr3FeGe, relaxed, DFT PBE-GGA
data_Zr3FeGe
_chemical_formula_sum 'Zr3 Fe1 Ge1'
_symmetry_space_group_name_H-M 'P m -3 m'
_symmetry_Int_Tables_number 221
_symmetry_space_group_name_Hall '-P 4 2 3'
_cell_length_a 4.7762
_cell_length_b 4.7762
_cell_length_c 4.7762
_cell_angle_alpha 90.00
_cell_angle_beta 90.00
_cell_angle_gamma 90.00
loop_
_atom_site_label
_atom_site_type_symbol
_atom_site_fract_x
_atom_site_fract_y
_atom_site_fract_z
Zr1 Zr 0.0000 0.0000 0.5000
Fe1 Fe 0.0000 0.0000 0.0000
Ge1 Ge 0.5000 0.5000 0.5000
# ρ: 6.1 g cm⁻³
# energy above the lowest structure with this stoichiometry: 0.00 eV per formula unit
# DFT total energy: -38.2 eV for the cell shown
# ΔH_f (0 K): 0.10 eV/atom
# N(E_F): 6.99 states/eV/cell


- The highest N(E_F) belongs to which entry?
  Zr2FeGe2